A plane-wave DFT calculation with meta-GGA SCAN was carried out for CrMoOs2N at its PBEsol-relaxed geometry.

Its density is 10.892 g cm⁻³. The calculation puts the formation energy without anion corrections at 2729 meV per atom. As for the magnetic moment: 0.3 μB per cell. The space-group type is P4/mmm, No. 123.

Cell and atoms, written as POSCAR:
```
CrMoOs2N
1.0
4.360 0.000 0.000
0.000 4.360 0.000
0.000 0.000 4.351
Cr Mo Os N
1 1 2 1
direct
0.000 0.000 0.000 Cr
0.000 0.000 0.500 Mo
0.000 0.500 0.000 Os
0.500 0.000 0.000 Os
0.500 0.500 0.500 N
```